First-principles (PBE) data for LaCeIrAu after structural relaxation, as listed in Alexandria.

The structure in POSCAR format:
```
LaCeIrAu
1.0
2.076 1.199 7.279
-2.076 1.199 7.279
0.000 -2.397 7.279
La Ce Ir Au
1 1 1 1
Direct
0.000 0.000 0.000
0.811 0.811 0.811
0.410 0.410 0.410
0.236 0.236 0.236
```

* total magnetization: 0.122 μB per atom
* energy: -6.4779 eV/atom